# 1
VASP calculation (GGA-PBE) on an optimized crystal structure of CuRuCl2.

distance to the lowest polymorph of the same formula: 529 meV/atom
crystal system: orthorhombic
formation energy (no corrections): 0.56 eV per atom
electronic total energy: -29.65 eV per cell
space-group type: No. 65

a = 6.259 Å, b = 6.276 Å, c = 3.085 Å
α = 90.00°, β = 90.00°, γ = 90.00°
Positions (direct):
Cu: 0.000 0.000 0.000
Cu: 0.500 0.500 0.000
Ru: 0.000 0.500 0.000
Ru: 0.500 0.000 0.000
Cl: 0.250 0.250 0.500
Cl: 0.250 0.750 0.500
Cl: 0.750 0.250 0.500
Cl: 0.750 0.750 0.500



# 2
VASP calculation (GGA-PBE) on an optimized crystal structure of Pr6NdIn6.

E_form: -0.35 eV per atom
crystal system: hexagonal
electronic total energy: -54.38 eV per cell
space-group type: No. 191

a = 6.418 Å, b = 6.418 Å, c = 11.248 Å
α = 90.00°, β = 90.00°, γ = 120.00°
Positions (direct):
Pr: 0.000 0.000 0.166
Pr: 0.000 0.000 0.834
Pr: 0.333 0.667 0.000
Pr: 0.333 0.667 0.500
Pr: 0.667 0.333 0.000
Pr: 0.667 0.333 0.500
Nd: 0.000 0.000 0.500
In: 0.000 0.500 0.254
In: 0.000 0.500 0.746
In: 0.500 0.000 0.254
In: 0.500 0.000 0.746
In: 0.500 0.500 0.254
In: 0.500 0.500 0.746